Entry 1:
Entry from Alexandria: a relaxed LaMnNb2Ag crystal (PBE).

Cell: 4.9335 4.9335 4.4706 Å, 90.00 90.00 90.00°
Last column: nearest neighbours and their distance in Å.
Atoms (fractional coordinates):
La: 0.0000 0.0000 0.0000  2 Mn 2.24, 4 Nb 2.47
Mn: 0.0000 0.0000 0.5000  2 La 2.24
Nb: 0.0000 0.5000 0.0000  2 La 2.47
Nb: 0.5000 0.0000 0.0000  2 La 2.47
Ag: 0.5000 0.5000 0.5000  8 Nb 3.33, 4 Mn 3.49

Values from the calculation:
ΔE_f ... 1.751 eV/atom
M_tot ... 1.45 μB/cell

=====

Entry 2:
Entry from Alexandria: a relaxed Ca2TmScSe4 crystal (PBE).

Cell: 6.9885 4.0427 7.1259 Å, 90.00 109.16 90.00°
Last column: nearest neighbours and their distance in Å.
Atoms (fractional coordinates):
Ca: 0.0000 0.0000 0.0000  6 Se 2.95
Ca: 0.5000 0.5000 0.0000  6 Se 2.91
Tm: 0.0000 0.5000 0.5000  6 Se 2.84
Sc: 0.5000 0.0000 0.5000  6 Se 2.81
Se: 0.2504 0.0000 0.7383  1 Sc 2.81, 2 Tm 2.84, 3 Ca 2.91-2.95
Se: 0.2590 0.5000 0.2649  2 Sc 2.81, 1 Tm 2.84, 3 Ca 2.91-2.95
Se: 0.7410 0.5000 0.7351  2 Sc 2.81, 1 Tm 2.84, 3 Ca 2.91-2.95
Se: 0.7496 0.0000 0.2617  1 Sc 2.81, 2 Tm 2.84, 3 Ca 2.91-2.95

Values from the calculation:
M_tot ... 0.00 μB/cell
ΔE_f (raw) ... -14.5 eV/f.u.

=====

Entry 3:
Entry from Alexandria: a relaxed CoCuS2 crystal (PBE).

Cell: 5.1288 5.1288 10.1793 Å, 90.00 90.00 90.00°
Last column: nearest neighbours and their distance in Å.
Atoms (fractional coordinates):
Co: 0.0000 0.0000 0.0000  4 S 2.15
Co: 0.0000 0.5000 0.2500  4 S 2.15
Co: 0.5000 0.0000 0.7500  4 S 2.15
Co: 0.5000 0.5000 0.5000  4 S 2.15
Cu: 0.0000 0.0000 0.5000  4 S 2.28
Cu: 0.0000 0.5000 0.7500  4 S 2.28
Cu: 0.5000 0.0000 0.2500  4 S 2.28
Cu: 0.5000 0.5000 0.0000  4 S 2.28
S: 0.2286 0.2500 0.1250  2 Co 2.15, 2 Cu 2.28
S: 0.2500 0.7286 0.3750  2 Co 2.15, 2 Cu 2.28
S: 0.2500 0.7714 0.8750  2 Co 2.15, 2 Cu 2.28
S: 0.2714 0.2500 0.6250  2 Co 2.15, 2 Cu 2.28
S: 0.7286 0.7500 0.6250  2 Co 2.15, 2 Cu 2.28
S: 0.7500 0.2286 0.8750  2 Co 2.15, 2 Cu 2.28
S: 0.7500 0.2714 0.3750  2 Co 2.15, 2 Cu 2.28
S: 0.7714 0.7500 0.1250  2 Co 2.15, 2 Cu 2.28

Values from the calculation:
M_tot ... 4.63 μB/cell
ΔE_f (raw) ... -1.1 eV/f.u.

=====

Entry 4:
Entry from Alexandria: a relaxed NaRhBr3 crystal (PBE).

Cell: 5.3295 5.3295 5.3295 Å, 90.00 90.00 90.00°
Last column: nearest neighbours and their distance in Å.
Atoms (fractional coordinates):
Na: 0.0000 0.0000 0.0000  6 Br 2.66
Rh: 0.5000 0.5000 0.5000  12 Br 3.77
Br: 0.0000 0.0000 0.5000  2 Na 2.66
Br: 0.0000 0.5000 0.0000  2 Na 2.66
Br: 0.5000 0.0000 0.0000  2 Na 2.66

Values from the calculation:
M_tot ... 3.00 μB/cell
ΔE_f (raw) ... 1.7 eV/f.u.

=====

Entry 5:
Entry from Alexandria: a relaxed Ba7CaTl4 crystal (PBE).

Cell: 8.8207 8.8207 12.5534 Å, 122.68 122.68 43.55°
Last column: nearest neighbours and their distance in Å.
Atoms (fractional coordinates):
Ba: 0.0000 0.0000 0.0000  2 Ca 3.27, 4 Tl 3.45
Ba: 0.1815 0.1815 0.6236  4 Tl 3.52-3.81
Ba: 0.2786 0.2786 0.1154  4 Tl 3.70-3.97, 4 Ba 3.90-4.10
Ba: 0.4272 0.4272 0.6288  5 Tl 3.53-3.90, 1 Ba 3.94
Ba: 0.5728 0.5728 0.3712  5 Tl 3.53-3.90, 1 Ba 3.94
Ba: 0.7214 0.7214 0.8846  4 Tl 3.70-3.97, 4 Ba 3.90-4.10
Ba: 0.8185 0.8185 0.3764  4 Tl 3.52-3.81
Ca: 0.5000 0.5000 0.0000  2 Ba 3.27
Tl: 0.0535 0.0535 0.7715  1 Tl 3.29, 2 Ba 3.45-3.52
Tl: 0.1833 0.1833 0.3336  1 Tl 3.29, 3 Ba 3.45-3.66
Tl: 0.8167 0.8167 0.6664  1 Tl 3.29, 3 Ba 3.45-3.66
Tl: 0.9465 0.9465 0.2285  1 Tl 3.29, 2 Ba 3.45-3.52

Values from the calculation:
ΔE_f ... -0.171 eV/atom
M_tot ... 0.00 μB/cell

=====

Entry 6:
Entry from Alexandria: a relaxed KCu2Br crystal (PBE).

Cell: 7.2161 7.2161 7.2161 Å, 90.00 90.00 90.00°
Last column: nearest neighbours and their distance in Å.
Atoms (fractional coordinates):
K: 0.0000 0.0000 0.0000  4 Br 3.12, 4 Cu 3.12
K: 0.0000 0.5000 0.5000  4 Br 3.12, 4 Cu 3.12
K: 0.5000 0.0000 0.5000  4 Br 3.12, 4 Cu 3.12
K: 0.5000 0.5000 0.0000  4 Br 3.12, 4 Cu 3.12
Cu: 0.0000 0.0000 0.5000  4 Cu 3.12, 4 Br 3.12
Cu: 0.0000 0.5000 0.0000  4 Cu 3.12, 4 Br 3.12
Cu: 0.2500 0.2500 0.2500  4 K 3.12, 4 Cu 3.12
Cu: 0.2500 0.7500 0.7500  4 K 3.12, 4 Cu 3.12
Cu: 0.5000 0.0000 0.0000  4 Cu 3.12, 4 Br 3.12
Cu: 0.5000 0.5000 0.5000  4 Cu 3.12, 4 Br 3.12
Cu: 0.7500 0.2500 0.7500  4 K 3.12, 4 Cu 3.12
Cu: 0.7500 0.7500 0.2500  4 K 3.12, 4 Cu 3.12
Br: 0.2500 0.2500 0.7500  4 K 3.12, 4 Cu 3.12
Br: 0.2500 0.7500 0.2500  4 K 3.12, 4 Cu 3.12
Br: 0.7500 0.2500 0.2500  4 K 3.12, 4 Cu 3.12
Br: 0.7500 0.7500 0.7500  4 Cu 3.12, 4 K 3.12

Values from the calculation:
M_tot ... 0.00 μB/cell
ΔE_f (raw) ... 1.1 eV/f.u.

=====

Entry 7:
Entry from Alexandria: a relaxed LaY3Ho6Tm2 crystal (PBE).

Cell: 6.1434 6.1434 11.7770 Å, 94.97 94.97 119.97°
Last column: nearest neighbours and their distance in Å.
Atoms (fractional coordinates):
La: 0.0000 0.0000 0.0000  6 Tm 3.55, 6 Ho 3.56
Y: 0.1671 0.8329 0.5000  6 Ho 3.54-3.55, 6 Y 3.54-3.56
Y: 0.5000 0.5000 0.5000  6 Ho 3.54-3.55, 6 Y 3.54-3.55
Y: 0.8329 0.1671 0.5000  6 Ho 3.54-3.55, 6 Y 3.54-3.56
Ho: 0.0843 0.4190 0.2506  3 Y 3.54-3.55, 6 Ho 3.54-3.56, 2 Tm 3.55-3.56, 1 La 3.56
Ho: 0.2508 0.2508 0.7494  6 Ho 3.54-3.56, 3 Y 3.54-3.55, 2 Tm 3.55, 1 La 3.56
Ho: 0.4190 0.0843 0.2506  3 Y 3.54-3.55, 6 Ho 3.54-3.56, 2 Tm 3.55-3.56, 1 La 3.56
Ho: 0.5810 0.9157 0.7494  3 Y 3.54-3.55, 6 Ho 3.54-3.56, 2 Tm 3.55-3.56, 1 La 3.56
Ho: 0.7492 0.7492 0.2506  6 Ho 3.54-3.56, 3 Y 3.54-3.55, 2 Tm 3.55, 1 La 3.56
Ho: 0.9157 0.5810 0.7494  3 Y 3.54-3.55, 6 Ho 3.54-3.56, 2 Tm 3.55-3.56, 1 La 3.56
Tm: 0.3333 0.6667 0.0000  3 Tm 3.55, 3 La 3.55, 6 Ho 3.55-3.56
Tm: 0.6667 0.3333 0.0000  3 Tm 3.55, 3 La 3.55, 6 Ho 3.55-3.56

Values from the calculation:
ΔE_f ... 0.026 eV/atom
M_tot ... 0.00 μB/cell

=====

Entry 8:
Entry from Alexandria: a relaxed MnCd2Br crystal (PBE).

Cell: 4.0378 4.0378 6.0933 Å, 90.00 90.00 90.00°
Last column: nearest neighbours and their distance in Å.
Atoms (fractional coordinates):
Mn: 0.0000 0.0000 0.0000  4 Br 2.86
Cd: 0.0000 0.5000 0.5000  4 Cd 2.86
Cd: 0.5000 0.0000 0.5000  4 Cd 2.86
Br: 0.5000 0.5000 0.0000  4 Mn 2.86

Values from the calculation:
M_tot ... 4.49 μB/cell
ΔE_f (raw) ... 1.1 eV/f.u.

=====

Entry 9:
Entry from Alexandria: a relaxed AcErCu crystal (PBE).

Cell: 3.3257 6.1171 8.4090 Å, 90.00 90.00 90.00°
Last column: nearest neighbours and their distance in Å.
Atoms (fractional coordinates):
Ac: 0.0000 0.0000 0.0000  3 Er 3.21-3.24, 2 Cu 3.31, 2 Ac 3.33
Ac: 0.0000 0.5000 0.5000  3 Er 3.21-3.24, 2 Cu 3.31, 2 Ac 3.33
Er: 0.0000 0.0000 0.3853  2 Cu 2.85
Er: 0.0000 0.5000 0.8853  2 Cu 2.85
Cu: 0.5000 0.0000 0.6603  2 Er 2.85
Cu: 0.5000 0.5000 0.1603  2 Er 2.85

Values from the calculation:
ΔE_f ... 0.492 eV/atom
M_tot ... 0.00 μB/cell

=====

Entry 10:
Entry from Alexandria: a relaxed Np2UPtS4 crystal (PBE).

Cell: 6.7559 6.7559 6.6970 Å, 90.00 90.00 90.00°
Last column: nearest neighbours and their distance in Å.
Atoms (fractional coordinates):
Np: 0.0000 0.5000 0.0000  8 S 2.80-3.11
Np: 0.0000 0.5000 0.5000  8 S 2.80-3.11
Np: 0.5000 0.0000 0.0000  8 S 2.80-3.11
Np: 0.5000 0.0000 0.5000  8 S 2.80-3.11
U: 0.0000 0.0000 0.0000  4 S 2.78
U: 0.5000 0.5000 0.5000  4 S 2.78
Pt: 0.0000 0.0000 0.5000  4 S 2.43
Pt: 0.5000 0.5000 0.0000  4 S 2.43
S: 0.2079 0.2079 0.2906  1 Pt 2.43
S: 0.2079 0.7921 0.7094  1 Pt 2.43
S: 0.2921 0.2921 0.7906  1 Pt 2.43
S: 0.2921 0.7079 0.2094  1 Pt 2.43
S: 0.7079 0.2921 0.2094  1 Pt 2.43
S: 0.7079 0.7079 0.7906  1 Pt 2.43
S: 0.7921 0.2079 0.7094  1 Pt 2.43
S: 0.7921 0.7921 0.2906  1 Pt 2.43

Values from the calculation:
M_tot ... 23.12 μB/cell
ΔE_f (raw) ... -8.1 eV/f.u.

=====

Entry 11:
Entry from Alexandria: a relaxed TlZnPbBr5 crystal (PBE).

Cell: 8.0397 8.0397 10.7040 Å, 104.66 104.66 105.52°
Last column: nearest neighbours and their distance in Å.
Atoms (fractional coordinates):
Tl: 0.1480 0.8520 0.7500  5 Br 3.24-3.42
Tl: 0.8520 0.1480 0.2500  5 Br 3.24-3.42
Zn: 0.1837 0.8163 0.2500  4 Br 2.45-2.46
Zn: 0.8163 0.1837 0.7500  4 Br 2.45-2.46
Pb: 0.5000 0.5000 0.0000  6 Br 2.96-3.11
Pb: 0.5000 0.5000 0.5000  6 Br 2.96-3.11
Br: 0.1010 0.2403 0.9350  1 Zn 2.46
Br: 0.1600 0.5851 0.3619  1 Zn 2.45
Br: 0.2403 0.1010 0.4350  1 Zn 2.46
Br: 0.4014 0.5986 0.7500  2 Pb 2.96, 1 Tl 3.24
Br: 0.4149 0.8400 0.1381  1 Zn 2.45
Br: 0.5851 0.1600 0.8619  1 Zn 2.45
Br: 0.5986 0.4014 0.2500  2 Pb 2.96, 1 Tl 3.24
Br: 0.7597 0.8990 0.5650  1 Zn 2.46
Br: 0.8400 0.4149 0.6381  1 Zn 2.45
Br: 0.8990 0.7597 0.0650  1 Zn 2.46

Values from the calculation:
M_tot ... 0.00 μB/cell
ΔE_f (raw) ... -7.1 eV/f.u.

=====

Entry 12:
Entry from Alexandria: a relaxed RbTlGe2I6 crystal (PBE).

Cell: 10.3697 10.3697 10.9511 Å, 109.27 109.27 93.12°
Last column: nearest neighbours and their distance in Å.
Atoms (fractional coordinates):
Rb: 0.0981 0.9019 0.7500  6 I 3.72-3.90
Rb: 0.9019 0.0981 0.2500  6 I 3.72-3.90
Tl: 0.2760 0.7240 0.2500  6 I 3.61-3.78
Tl: 0.7240 0.2760 0.7500  6 I 3.61-3.78
Ge: 0.2428 0.4337 0.8066  3 I 2.73-2.77
Ge: 0.4337 0.2428 0.3066  3 I 2.73-2.77
Ge: 0.5663 0.7572 0.6934  3 I 2.73-2.77
Ge: 0.7572 0.5663 0.1934  3 I 2.73-2.77
I: 0.0254 0.2095 0.6535  1 Ge 2.77
I: 0.0738 0.6168 0.8825  1 Ge 2.77
I: 0.2095 0.0254 0.1535  1 Ge 2.77
I: 0.3469 0.3812 0.0458  1 Ge 2.73
I: 0.3812 0.3469 0.5458  1 Ge 2.73
I: 0.3832 0.9262 0.6175  1 Ge 2.77
I: 0.6168 0.0738 0.3825  1 Ge 2.77
I: 0.6188 0.6531 0.4542  1 Ge 2.73
I: 0.6531 0.6188 0.9542  1 Ge 2.73
I: 0.7905 0.9746 0.8465  1 Ge 2.77
I: 0.9262 0.3832 0.1175  1 Ge 2.77
I: 0.9746 0.7905 0.3465  1 Ge 2.77

Values from the calculation:
M_tot ... 0.00 μB/cell
ΔE_f (raw) ... -5.8 eV/f.u.

=====

Entry 13:
Entry from Alexandria: a relaxed YCo2Cu crystal (PBE).

Cell: 4.0712 4.0712 16.9755 Å, 90.00 90.00 90.00°
Last column: nearest neighbours and their distance in Å.
Atoms (fractional coordinates):
Y: 0.0000 0.0000 0.0000  4 Co 2.84, 4 Cu 2.88
Y: 0.0000 0.5000 0.2500  4 Co 2.84, 4 Cu 2.88
Y: 0.5000 0.0000 0.7500  4 Co 2.84, 4 Cu 2.88
Y: 0.5000 0.5000 0.5000  4 Co 2.84, 4 Cu 2.88
Co: 0.1090 0.2500 0.6250  2 Co 2.22, 2 Cu 2.39
Co: 0.2500 0.6090 0.8750  2 Co 2.22, 2 Cu 2.39
Co: 0.2500 0.8910 0.3750  2 Co 2.22, 2 Cu 2.39
Co: 0.3910 0.2500 0.1250  2 Co 2.22, 2 Cu 2.39
Co: 0.6090 0.7500 0.1250  2 Co 2.22, 2 Cu 2.39
Co: 0.7500 0.1090 0.3750  2 Co 2.22, 2 Cu 2.39
Co: 0.7500 0.3910 0.8750  2 Co 2.22, 2 Cu 2.39
Co: 0.8910 0.7500 0.6250  2 Co 2.22, 2 Cu 2.39
Cu: 0.0000 0.0000 0.5000  4 Co 2.39
Cu: 0.0000 0.5000 0.7500  4 Co 2.39
Cu: 0.5000 0.0000 0.2500  4 Co 2.39
Cu: 0.5000 0.5000 0.0000  4 Co 2.39

Values from the calculation:
ΔE_f ... 0.261 eV/atom
M_tot ... 7.69 μB/cell

=====

Entry 14:
Entry from Alexandria: a relaxed TbPmSmHo crystal (PBE).

Cell: 8.0855 8.0855 8.0855 Å, 90.00 90.00 90.00°
Last column: nearest neighbours and their distance in Å.
Atoms (fractional coordinates):
Tb: 0.0000 0.0000 0.0000  4 Pm 3.50, 4 Sm 3.50
Tb: 0.0000 0.5000 0.5000  4 Pm 3.50, 4 Sm 3.50
Tb: 0.5000 0.0000 0.5000  4 Pm 3.50, 4 Sm 3.50
Tb: 0.5000 0.5000 0.0000  4 Pm 3.50, 4 Sm 3.50
Pm: 0.2500 0.2500 0.7500  4 Tb 3.50, 4 Ho 3.50
Pm: 0.2500 0.7500 0.2500  4 Tb 3.50, 4 Ho 3.50
Pm: 0.7500 0.2500 0.2500  4 Tb 3.50, 4 Ho 3.50
Pm: 0.7500 0.7500 0.7500  4 Tb 3.50, 4 Ho 3.50
Sm: 0.2500 0.2500 0.2500  4 Ho 3.50, 4 Tb 3.50
Sm: 0.2500 0.7500 0.7500  4 Ho 3.50, 4 Tb 3.50
Sm: 0.7500 0.2500 0.7500  4 Ho 3.50, 4 Tb 3.50
Sm: 0.7500 0.7500 0.2500  4 Ho 3.50, 4 Tb 3.50
Ho: 0.0000 0.0000 0.5000  4 Pm 3.50, 4 Sm 3.50
Ho: 0.0000 0.5000 0.0000  4 Pm 3.50, 4 Sm 3.50
Ho: 0.5000 0.0000 0.0000  4 Pm 3.50, 4 Sm 3.50
Ho: 0.5000 0.5000 0.5000  4 Pm 3.50, 4 Sm 3.50

Values from the calculation:
ΔE_f ... 0.130 eV/atom
M_tot ... 0.01 μB/cell

=====

Entry 15:
Entry from Alexandria: a relaxed B5C7 crystal (PBE).

Cell: 4.6510 2.6503 6.5315 Å, 90.00 91.44 90.00°
Last column: nearest neighbours and their distance in Å.
Atoms (fractional coordinates):
B: 0.0000 0.0000 0.0000  2 C 1.54
B: 0.0365 0.0000 0.6622  3 C 1.57-1.64
B: 0.3717 0.0000 0.0304  3 C 1.63-1.72, 1 B 1.74
B: 0.5176 0.5000 0.7035  4 C 1.61-1.69
B: 0.8597 0.5000 0.2858  4 C 1.65-1.70
C: 0.1954 0.5000 0.6058  1 C 1.54, 3 B 1.57-1.61
C: 0.1972 0.5000 0.3705  3 C 1.54-1.59, 1 B 1.65
C: 0.3487 0.0000 0.2923  3 C 1.59-1.60, 1 B 1.72
C: 0.5365 0.5000 0.9495  1 C 1.49, 3 B 1.61-1.63
C: 0.6744 0.0000 0.3777  2 C 1.48-1.60
C: 0.6920 0.0000 0.6041  1 C 1.48, 1 B 1.64
C: 0.8384 0.5000 0.0330  1 C 1.49, 3 B 1.54-1.65

Values from the calculation:
ΔE_f ... 0.394 eV/atom
M_tot ... 0.00 μB/cell

=====

Entry 16:
Entry from Alexandria: a relaxed Ti2CuNi8 crystal (PBE).

Cell: 6.6992 6.6992 5.7952 Å, 106.06 106.06 31.30°
Last column: nearest neighbours and their distance in Å.
Atoms (fractional coordinates):
Ti: 0.2222 0.2222 0.1640  10 Ni 2.45-2.68
Ti: 0.7778 0.7778 0.8360  10 Ni 2.45-2.68
Cu: 0.5000 0.5000 0.5000  12 Ni 2.49-2.57
Ni: 0.0406 0.0406 0.2232  1 Ti 2.46, 9 Ni 2.48-2.61, 2 Cu 2.57
Ni: 0.1394 0.1394 0.6844  3 Ti 2.51-2.68, 7 Ni 2.53-2.61, 2 Cu 2.56
Ni: 0.3241 0.3241 0.5967  3 Ti 2.45-2.47, 1 Cu 2.49, 8 Ni 2.52-2.64
Ni: 0.4094 0.4094 0.0494  8 Ni 2.48-2.60, 1 Cu 2.54, 3 Ti 2.54-2.68
Ni: 0.5906 0.5906 0.9506  8 Ni 2.48-2.60, 1 Cu 2.54, 3 Ti 2.54-2.68
Ni: 0.6759 0.6759 0.4033  3 Ti 2.45-2.47, 1 Cu 2.49, 8 Ni 2.52-2.64
Ni: 0.8606 0.8606 0.3156  3 Ti 2.51-2.68, 7 Ni 2.53-2.61, 2 Cu 2.56
Ni: 0.9594 0.9594 0.7768  1 Ti 2.46, 9 Ni 2.48-2.61, 2 Cu 2.57

Values from the calculation:
ΔE_f ... -0.224 eV/atom
M_tot ... 0.00 μB/cell

=====

Entry 17:
Entry from Alexandria: a relaxed GaCl4 crystal (PBE).

Cell: 4.8663 4.8663 4.8663 Å, 90.00 90.00 90.00°
Last column: nearest neighbours and their distance in Å.
Atoms (fractional coordinates):
Ga: 0.0000 0.0000 0.0000  6 Cl 2.43
Cl: 0.0000 0.0000 0.5000  2 Ga 2.43
Cl: 0.0000 0.5000 0.0000  2 Ga 2.43
Cl: 0.5000 0.0000 0.0000  2 Ga 2.43
Cl: 0.5000 0.5000 0.5000  12 Cl 3.44

Values from the calculation:
M_tot ... 1.20 μB/cell
ΔE_f (raw) ... -1.5 eV/f.u.

=====

Entry 18:
Entry from Alexandria: a relaxed GeTePt3 crystal (PBE).

Cell: 4.7110 4.7110 4.7110 Å, 90.00 90.00 90.00°
Last column: nearest neighbours and their distance in Å.
Atoms (fractional coordinates):
Ge: 0.0000 0.0000 0.0000  6 Pt 2.36
Te: 0.5000 0.5000 0.5000  12 Pt 3.33
Pt: 0.0000 0.0000 0.5000  2 Ge 2.36
Pt: 0.0000 0.5000 0.0000  2 Ge 2.36
Pt: 0.5000 0.0000 0.0000  2 Ge 2.36

Values from the calculation:
M_tot ... 0.00 μB/cell
ΔE_f (raw) ... 2.1 eV/f.u.

=====

Entry 19:
Entry from Alexandria: a relaxed GaHg2Pb2 crystal (PBE).

Cell: 7.4719 7.4719 4.9213 Å, 90.00 90.00 90.00°
Last column: nearest neighbours and their distance in Å.
Atoms (fractional coordinates):
Ga: 0.0000 0.0000 0.0000  4 Hg 2.88
Ga: 0.5000 0.5000 0.0000  4 Hg 2.88
Hg: 0.1417 0.3583 0.0000  2 Ga 2.88, 1 Hg 2.99, 2 Pb 3.16
Hg: 0.3583 0.8583 0.0000  2 Ga 2.88, 1 Hg 2.99, 2 Pb 3.16
Hg: 0.6417 0.1417 0.0000  2 Ga 2.88, 1 Hg 2.99, 2 Pb 3.16
Hg: 0.8583 0.6417 0.0000  2 Ga 2.88, 1 Hg 2.99, 2 Pb 3.16
Pb: 0.1710 0.6710 0.5000  6 Hg 3.16-3.40
Pb: 0.3290 0.1710 0.5000  6 Hg 3.16-3.40
Pb: 0.6710 0.8290 0.5000  6 Hg 3.16-3.40
Pb: 0.8290 0.3290 0.5000  6 Hg 3.16-3.40

Values from the calculation:
ΔE_f ... 0.094 eV/atom
M_tot ... 0.00 μB/cell

=====

Entry 20:
Entry from Alexandria: a relaxed LaBe3Hg crystal (PBE).

Cell: 5.4150 5.4150 5.4150 Å, 90.00 90.00 90.00°
Last column: nearest neighbours and their distance in Å.
Atoms (fractional coordinates):
La: 0.0000 0.0000 0.0000  6 Be 2.71
Be: 0.0000 0.0000 0.5000  2 La 2.71
Be: 0.0000 0.5000 0.0000  2 La 2.71
Be: 0.5000 0.0000 0.0000  2 La 2.71
Hg: 0.5000 0.5000 0.5000  12 Be 3.83

Values from the calculation:
ΔE_f ... 1.851 eV/atom
M_tot ... 0.00 μB/cell